Record 1
Density functional theory data (PBE) for a relaxed structure of AcMgAl2Zn.

Calculated values
E_tot in eV per atom: -3.183

```
data_AcMgAl2Zn
_cell_length_a 4.523
_cell_length_b 4.523
_cell_length_c 11.437
_cell_angle_alpha 90.00
_cell_angle_beta 90.00
_cell_angle_gamma 90.00
_symmetry_space_group_name_H-M 'I -4 m 2'
_symmetry_Int_Tables_number 119
_symmetry_space_group_name_Hall 'I -4 -2'
loop_
_atom_site_label
_atom_site_type_symbol
_atom_site_fract_x
_atom_site_fract_y
_atom_site_fract_z
Ac1 Ac 0.000 0.000 0.000
Mg1 Mg 0.000 0.500 0.250
Al1 Al 0.000 0.000 0.386
Zn1 Zn 0.000 0.500 0.750
```

Record 2
Density functional theory data (PBE) for a relaxed structure of TmMgIr2.

Calculated values
E_tot in eV per atom: -6.584

```
data_TmMgIr2
_cell_length_a 3.287
_cell_length_b 3.287
_cell_length_c 6.383
_cell_angle_alpha 90.00
_cell_angle_beta 90.00
_cell_angle_gamma 90.00
_symmetry_space_group_name_H-M 'P 4/m m m'
_symmetry_Int_Tables_number 123
_symmetry_space_group_name_Hall '-P 4 2'
loop_
_atom_site_label
_atom_site_type_symbol
_atom_site_fract_x
_atom_site_fract_y
_atom_site_fract_z
Tm1 Tm 0.000 0.000 0.000
Mg1 Mg 0.000 0.000 0.500
Ir1 Ir 0.500 0.500 0.267
```

Record 3
Density functional theory data (PBE) for a relaxed structure of LaPu2O8.

Calculated values
Formation energy (no corrections) in eV/atom: -2.584

```
data_LaPu2O8
_cell_length_a 10.352
_cell_length_b 7.495
_cell_length_c 4.568
_cell_angle_alpha 90.00
_cell_angle_beta 94.45
_cell_angle_gamma 90.00
_symmetry_space_group_name_H-M 'C 1 2/m 1'
_symmetry_Int_Tables_number 12
loop_
_symmetry_equiv_pos_as_xyz
'x,y,z'
'-x,-y,-z'
'-x,y,-z'
'x,-y,z'
'x+1/2,y+1/2,z'
'-x+1/2,-y+1/2,-z'
'-x+1/2,y+1/2,-z'
'x+1/2,-y+1/2,z'
loop_
_atom_site_label
_atom_site_type_symbol
_atom_site_fract_x
_atom_site_fract_y
_atom_site_fract_z
La1 La 0.000 0.000 0.000
Pu1 Pu 0.128 0.500 0.265
O1 O 0.073 0.500 0.762
O2 O 0.123 0.250 0.253
O3 O 0.182 0.000 0.733
```

Record 4
Density functional theory data (PBE) for a relaxed structure of Na3Pd.

Calculated values
E_tot in eV per atom: -2.286

```
data_Na3Pd
_cell_length_a 3.462
_cell_length_b 5.281
_cell_length_c 11.077
_cell_angle_alpha 90.00
_cell_angle_beta 90.00
_cell_angle_gamma 90.00
_symmetry_space_group_name_H-M 'I m m m'
_symmetry_Int_Tables_number 71
_symmetry_space_group_name_Hall '-I 2 2'
loop_
_atom_site_label
_atom_site_type_symbol
_atom_site_fract_x
_atom_site_fract_y
_atom_site_fract_z
Na1 Na 0.000 0.000 0.000
Na2 Na 0.000 0.500 0.208
Pd1 Pd 0.000 0.000 0.500
```

Record 5
Density functional theory data (PBE) for a relaxed structure of Ba2Pd17.

Calculated values
E_tot in eV per atom: -5.032

```
data_Ba2Pd17
_cell_length_a 9.3755
_cell_length_b 9.3755
_cell_length_c 13.6574
_cell_angle_alpha 90.00
_cell_angle_beta 90.00
_cell_angle_gamma 120.00
_symmetry_space_group_name_H-M 'R -3 m'
_symmetry_Int_Tables_number 166
_symmetry_space_group_name_Hall '-R 3 2"'
loop_
_atom_site_label
_atom_site_type_symbol
_atom_site_fract_x
_atom_site_fract_y
_atom_site_fract_z
Ba1 Ba 0.0000 0.0000 0.1598
Pd1 Pd 0.0000 0.0000 0.4013
Pd2 Pd 0.0000 0.2925 0.5000
Pd3 Pd 0.0000 0.5000 0.0000
Pd4 Pd 0.0010 0.5005 0.3452
```

Record 6
Density functional theory data (PBE) for a relaxed structure of Rb2Li3SnI8.

Calculated values
Formation energy (no corrections) in eV/atom: -0.981

```
data_Rb2Li3SnI8
_cell_length_a 9.0521
_cell_length_b 9.0521
_cell_length_c 27.5888
_cell_angle_alpha 90.00
_cell_angle_beta 90.00
_cell_angle_gamma 120.00
_symmetry_space_group_name_H-M 'R 3 m'
_symmetry_Int_Tables_number 160
_symmetry_space_group_name_Hall 'R 3 -2"'
loop_
_atom_site_label
_atom_site_type_symbol
_atom_site_fract_x
_atom_site_fract_y
_atom_site_fract_z
Rb1 Rb 0.0000 0.0000 0.0000
Rb2 Rb 0.0000 0.0000 0.3507
Li1 Li 0.2042 0.4085 0.8198
Sn1 Sn 0.0000 0.0000 0.5605
I1 I 0.0000 0.0000 0.2228
I2 I 0.0000 0.0000 0.6625
I3 I 0.0160 0.5080 0.7629
I4 I 0.1881 0.3762 0.5469
```

Record 7
Density functional theory data (PBE) for a relaxed structure of PrMgPb.

Calculated values
E_tot in eV per atom: -3.581

```
data_PrMgPb
_cell_length_a 7.282
_cell_length_b 7.282
_cell_length_c 7.282
_cell_angle_alpha 90.00
_cell_angle_beta 90.00
_cell_angle_gamma 90.00
_symmetry_space_group_name_H-M 'F -4 3 m'
_symmetry_Int_Tables_number 216
_symmetry_space_group_name_Hall 'F -4 2 3'
loop_
_atom_site_label
_atom_site_type_symbol
_atom_site_fract_x
_atom_site_fract_y
_atom_site_fract_z
Pr1 Pr 0.000 0.000 0.000
Mg1 Mg 0.000 0.000 0.500
Pb1 Pb 0.250 0.250 0.750
```

Record 8
Density functional theory data (PBE) for a relaxed structure of DyPu3As4.

Calculated values
E above lowest polymorph in meV per atom: 33

```
data_DyPu3As4
_cell_length_a 8.245
_cell_length_b 11.671
_cell_length_c 4.133
_cell_angle_alpha 90.00
_cell_angle_beta 90.00
_cell_angle_gamma 90.00
_symmetry_space_group_name_H-M 'C m m m'
_symmetry_Int_Tables_number 65
_symmetry_space_group_name_Hall '-C 2 2'
loop_
_atom_site_label
_atom_site_type_symbol
_atom_site_fract_x
_atom_site_fract_y
_atom_site_fract_z
Dy1 Dy 0.000 0.000 0.000
Pu1 Pu 0.000 0.500 0.000
Pu2 Pu 0.250 0.250 0.500
As1 As 0.000 0.249 0.000
As2 As 0.249 0.500 0.500
```